# 1
Pm2Tc3C4 | GGA-PBE | relaxed Values from VASP.

Geometry as Quantum ESPRESSO input:
```
&SYSTEM
  ibrav = 0, nat = 9, ntyp = 3
/
ATOMIC_SPECIES
Pm 145.00 Pm.upf
Tc 98.00 Tc.upf
C 12.01 C.upf
CELL_PARAMETERS angstrom
-4.832 1.491 1.387
3.055 -1.245 4.076
2.558 4.996 -2.419
ATOMIC_POSITIONS angstrom
Pm -0.328 1.843 2.836
Pm 1.109 3.400 0.207
Tc -2.416 0.746 0.693
Tc 0.000 0.000 0.000
Tc 1.528 -0.622 2.038
C 3.777 2.904 1.098
C -1.308 4.668 -0.636
C -2.996 2.338 1.946
C 2.088 0.574 3.680
```

Summary:
Theoretical density   7.72 g/cm3
M_tot   0.000 μB/atom
Electronic total energy   -73.07 eV per cell
Crystal system   orthorhombic
E_form   0.492 eV/atom

***

# 2
PmTc2C3 | GGA-PBE | relaxed Values from VASP.

Geometry as Quantum ESPRESSO input:
```
&SYSTEM
  ibrav = 0, nat = 12, ntyp = 3
/
ATOMIC_SPECIES
Pm 145.00 Pm.upf
Tc 98.00 Tc.upf
C 12.01 C.upf
CELL_PARAMETERS angstrom
5.318 0.000 0.000
0.000 6.389 -3.425
0.000 -0.991 5.825
ATOMIC_POSITIONS angstrom
Pm 3.989 1.265 2.362
Pm 1.330 4.133 0.037
Tc 2.659 1.245 -0.667
Tc 2.659 4.153 3.066
Tc 5.318 4.153 3.066
Tc 0.000 1.245 -0.667
C 1.330 2.564 3.323
C 3.989 2.834 -0.923
C 3.989 4.051 -1.576
C 1.330 1.347 3.975
C 1.330 0.298 0.556
C 3.989 5.100 1.843
```

Summary:
Theoretical density   6.96 g/cm3
M_tot   0.000 μB/atom
Electronic total energy   -104.21 eV per cell
Crystal system   orthorhombic
E_form   0.175 eV/atom

***

# 3
Pm2TcC2 | GGA-PBE | relaxed Values from VASP.

Geometry as Quantum ESPRESSO input:
```
&SYSTEM
  ibrav = 0, nat = 20, ntyp = 3
/
ATOMIC_SPECIES
Pm 145.00 Pm.upf
Tc 98.00 Tc.upf
C 12.01 C.upf
CELL_PARAMETERS angstrom
-4.915 -1.323 1.464
2.467 -3.482 5.134
-0.487 8.294 5.858
ATOMIC_POSITIONS angstrom
Pm -2.267 1.212 7.850
Pm 0.758 -2.732 4.865
Pm -0.667 2.277 4.607
Pm -3.693 6.222 7.592
Pm -3.756 1.285 2.921
Pm -0.448 4.550 7.395
Pm 0.821 2.205 9.536
Pm -2.487 -1.060 5.062
Tc -3.442 3.536 6.007
Tc -0.619 -0.122 2.600
Tc 0.508 -0.046 6.450
Tc -2.315 3.611 9.857
C -2.920 3.691 7.900
C -1.256 1.668 2.081
C -0.015 -0.201 4.557
C -1.679 1.822 10.376
C -1.699 -3.502 5.498
C 0.204 1.745 7.049
C -1.235 6.992 6.959
C -3.139 1.745 5.408
```

Summary:
Theoretical density   7.61 g/cm3
M_tot   0.000 μB/atom
Electronic total energy   -158.82 eV per cell
Crystal system   orthorhombic
E_form   -0.278 eV/atom
Excess energy over the best structure of this formula in the dataset   0.000 eV per atom